VASP calculation (PBE) on a relaxed structure of BiRhI3.

Geometry as POSCAR:
```
BiRhI3
1.0
6.164 0.000 0.000
0.000 6.164 0.000
0.000 0.000 6.164
Bi Rh I
1 1 3
Cartesian
0.000 0.000 0.000
3.082 3.082 3.082
0.000 0.000 3.082
0.000 3.082 0.000
3.082 0.000 0.000
```

Computed properties:
The uncorrected formation energy is 0.75 eV/atom. As for the space-group type: Pm-3m, No. 221. For the energy above the most stable polymorph in this dataset, the calculation gives 0.574 eV/atom. The calculation puts the raw total energy at -12.15 eV/f.u.

***

VASP calculation (PBE) on a relaxed structure of Bi2RhI.

Geometry as POSCAR:
```
Bi2RhI
1.0
0.000 3.721 3.721
3.721 0.000 3.721
3.721 3.721 0.000
Bi Rh I
2 1 1
Cartesian
1.861 1.861 1.861
5.582 5.582 5.582
0.000 0.000 0.000
3.721 3.721 3.721
```

Computed properties:
The uncorrected formation energy is 0.49 eV/atom. As for the space-group type: Fm-3m, No. 225. For the energy above the most stable polymorph in this dataset, the calculation gives 0.627 eV/atom. The calculation puts the raw total energy at -14.72 eV/f.u.

***

VASP calculation (PBE) on a relaxed structure of Bi3RhI.

Geometry as POSCAR:
```
Bi3RhI
1.0
6.723 0.000 0.000
0.000 5.936 0.000
-2.644 0.000 7.654
Bi Rh I
6 2 2
Cartesian
1.026 0.000 0.423
-0.092 0.048 4.121
1.148 2.408 2.495
2.932 5.376 5.159
4.172 3.016 3.533
3.054 2.968 7.231
-0.632 4.343 1.945
4.711 1.375 5.709
-0.081 3.131 6.418
4.161 0.163 1.236
```

Computed properties:
The uncorrected formation energy is -0.12 eV/atom. As for the space-group type: P2_1, No. 4. For the energy above the most stable polymorph in this dataset, the calculation gives 0.000 eV/atom. The calculation puts the raw total energy at -21.17 eV/f.u.

***

VASP calculation (PBE) on a relaxed structure of BiRhI2.

Geometry as POSCAR:
```
BiRhI2
1.0
-5.183 5.183 2.659
5.183 -5.183 2.659
5.183 5.183 -2.659
Bi Rh I
2 2 4
Cartesian
0.000 0.000 0.000
0.000 5.183 1.329
5.183 0.000 1.329
0.000 0.000 2.659
2.592 4.370 -0.665
5.997 2.592 0.665
2.592 0.813 1.994
-0.813 2.592 3.324
```

Computed properties:
The uncorrected formation energy is 0.09 eV/atom. As for the space-group type: I-42d, No. 122. For the energy above the most stable polymorph in this dataset, the calculation gives 0.000 eV/atom. The calculation puts the raw total energy at -13.96 eV/f.u.

***

VASP calculation (PBE) on a relaxed structure of BiRhI2.

Geometry as POSCAR:
```
BiRhI2
1.0
0.000 3.755 3.755
3.755 0.000 3.755
3.755 3.755 0.000
Bi Rh I
1 1 2
Cartesian
0.000 0.000 0.000
3.755 3.755 3.755
1.877 1.877 1.877
5.632 5.632 5.632
```

Computed properties:
The uncorrected formation energy is 0.56 eV/atom. As for the space-group type: Fm-3m, No. 225. For the energy above the most stable polymorph in this dataset, the calculation gives 0.467 eV/atom. The calculation puts the raw total energy at -12.09 eV/f.u.

***

VASP calculation (PBE) on a relaxed structure of Bi6RhI2.

Geometry as POSCAR:
```
Bi6RhI2
1.0
8.297 -4.744 0.000
8.297 4.744 0.000
-0.984 0.000 3.945
Bi Rh I
6 1 2
Cartesian
5.384 3.217 1.369
8.297 2.736 0.000
10.225 3.217 2.576
5.384 -3.217 1.369
8.297 -2.736 0.000
10.225 -3.217 2.576
-0.492 0.000 1.972
5.793 0.000 1.455
9.817 0.000 2.490
```

Computed properties:
The uncorrected formation energy is -0.04 eV/atom. As for the space-group type: C2/m, No. 12. The calculation puts the raw total energy at -34.07 eV/f.u.

***

VASP calculation (PBE) on a relaxed structure of BiRh3I.

Geometry as POSCAR:
```
BiRh3I
1.0
4.866 0.000 0.000
0.000 4.866 0.000
0.000 0.000 4.866
Bi Rh I
1 3 1
Cartesian
0.000 0.000 0.000
0.000 2.433 2.433
2.433 0.000 2.433
2.433 2.433 0.000
2.433 2.433 2.433
```

Computed properties:
The uncorrected formation energy is 0.83 eV/atom. As for the space-group type: Pm-3m, No. 221. For the energy above the most stable polymorph in this dataset, the calculation gives 0.000 eV/atom. The calculation puts the raw total energy at -23.35 eV/f.u.

***

VASP calculation (PBE) on a relaxed structure of Bi3RhI.

Geometry as POSCAR:
```
Bi3RhI
1.0
5.415 0.000 0.000
0.000 5.415 0.000
0.000 0.000 5.415
Bi Rh I
3 1 1
Cartesian
0.000 0.000 2.707
0.000 2.707 0.000
2.707 0.000 0.000
0.000 0.000 0.000
2.707 2.707 2.707
```

Computed properties:
The uncorrected formation energy is 0.27 eV/atom. As for the space-group type: Pm-3m, No. 221. For the energy above the most stable polymorph in this dataset, the calculation gives 0.394 eV/atom. The calculation puts the raw total energy at -19.20 eV/f.u.

***

Question: Which formula does entry 6 have?
Answer: Bi6RhI2

***

Question: Which of these has the highest raw total energy?
Answer: number 5